1.
ZrSiIO2: relaxed, PBE-GGA.

The uncorrected formation energy is -0.324 eV/atom. Its volume is 16.717 A^3/atom.

The structure belongs to space group P4/mmm (No. 123); the cell edges are 3.851, 3.851 and 5.635 Å and the angles 90.00°, 90.00° and 90.00°. The inequivalent atoms are Zr at (0.000, 0.000, 0.000), Si at (0.500, 0.500, 0.500), I at (0.500, 0.500, 0.000) and O at (0.000, 0.500, 0.500).

2.
ZrSiI2O: relaxed, PBE-GGA.

The uncorrected formation energy is -0.552 eV/atom. Its volume is 27.787 A^3/atom.

The structure belongs to space group P4/mmm (No. 123); the cell edges are 5.893, 5.893 and 4.001 Å and the angles 90.00°, 90.00° and 90.00°. The inequivalent atoms are Zr at (0.000, 0.000, 0.000), Si at (0.500, 0.500, 0.500), I at (0.000, 0.500, 0.000) and O at (0.000, 0.000, 0.500).